A geometry-optimized Sr3NiHg structure. Source: Alexandria, functional PBE.

Properties
- calculated density (g/cm³) = 5.03
- ΔH_f (0 K) (eV per atom) = -0.229
- offset from the most stable computed form (meV/atom) = 0
- total moment (μB/atom) = 0.0000

Lattice parameters (Å, degrees): 4.358 8.770 9.434 107.08 90.00 90.00
Fractional coordinates of all 10 atoms:
Sr 0.750 0.672 0.416
Sr 0.250 0.328 0.584
Sr 0.750 0.302 0.932
Sr 0.250 0.917 0.752
Sr 0.250 0.698 0.068
Sr 0.750 0.083 0.248
Ni 0.250 0.965 0.449
Ni 0.750 0.035 0.551
Hg 0.250 0.377 0.214
Hg 0.750 0.623 0.786

A geometry-optimized KRb3Mn structure. Source: Alexandria, functional PBE.

Properties
- calculated density (g/cm³) = 1.65
- ΔH_f (0 K) (eV per atom) = 1.030
- offset from the most stable computed form (meV/atom) = 169
- total moment (μB/atom) = 0.1225

Lattice parameters (Å, degrees): 7.069 7.069 7.069 90.00 90.00 90.00
Last column: magnetic moment on the atom in μB.
Fractional coordinates of all 5 atoms:
K 0.500 0.500 0.500  0.01
Mn 0.000 0.000 0.000  0.26
Rb 0.000 0.500 0.000  0.01
Rb 0.000 0.000 0.500  0.01
Rb 0.500 0.000 0.000  0.01

A geometry-optimized Ho2Er15Tm2 structure. Source: Alexandria, functional PBE.

Properties
- calculated density (g/cm³) = 8.66
- ΔH_f (0 K) (eV per atom) = 0.293
- total moment (μB/atom) = 0.0000

Lattice parameters (Å, degrees): 8.607 8.607 8.607 79.43 79.43 79.43
Fractional coordinates of all 19 atoms:
Ho 0.678 0.678 0.678
Ho 0.322 0.322 0.322
Er 0.000 0.500 0.000
Er 0.000 0.000 0.500
Er 0.500 0.000 0.000
Er 0.299 0.000 0.701
Er 0.701 0.299 0.000
Er 0.000 0.701 0.299
Er 0.299 0.701 0.000
Er 0.000 0.299 0.701
Er 0.701 0.000 0.299
Er 0.369 0.852 0.369
Er 0.369 0.369 0.852
Er 0.852 0.369 0.369
Er 0.631 0.148 0.631
Er 0.631 0.631 0.148
Er 0.148 0.631 0.631
Tm 0.903 0.903 0.903
Tm 0.097 0.097 0.097

A geometry-optimized ErAl5Tc structure. Source: Alexandria, functional PBE.

Properties
- calculated density (g/cm³) = 5.15
- ΔH_f (0 K) (eV per atom) = -0.386
- total moment (μB/atom) = 0.0000

Lattice parameters (Å, degrees): 4.314 4.314 6.933 90.00 90.00 90.00
Fractional coordinates of all 7 atoms:
Er 0.000 0.000 0.000
Al 0.500 0.000 0.695
Al 0.000 0.500 0.695
Al 0.500 0.500 0.000
Al 0.000 0.500 0.305
Al 0.500 0.000 0.305
Tc 0.000 0.000 0.500

A geometry-optimized YTlIr2 structure. Source: Alexandria, functional PBE.

Properties
- calculated density (g/cm³) = 13.66
- ΔH_f (0 K) (eV per atom) = 0.400
- offset from the most stable computed form (meV/atom) = 657
- total moment (μB/atom) = 0.0001

Lattice parameters (Å, degrees): 9.181 9.181 9.181 20.41 20.41 20.41
Fractional coordinates of all 4 atoms:
Ir 0.997 0.997 0.997
Ir 0.255 0.255 0.255
Tl 0.509 0.509 0.509
Y 0.739 0.739 0.739

A geometry-optimized RbLi2Os structure. Source: Alexandria, functional PBE.

Properties
- calculated density (g/cm³) = 4.01
- ΔH_f (0 K) (eV per atom) = 1.235
- offset from the most stable computed form (meV/atom) = 107
- total moment (μB/atom) = 0.3244

Lattice parameters (Å, degrees): 5.284 5.284 9.376 73.63 73.63 90.00
Last column: magnetic moment on the atom in μB.
Fractional coordinates of all 8 atoms:
Os 0.000 0.000 0.000  1.45
Os 0.750 0.250 0.500  1.45
Rb 0.500 0.500 0.000  -0.01
Rb 0.250 0.750 0.500  -0.01
Li 0.873 0.125 0.250  -0.04
Li 0.877 0.625 0.250  -0.04
Li 0.375 0.127 0.750  -0.04
Li 0.875 0.123 0.750  -0.04

A geometry-optimized TbSmY2Er structure. Source: Alexandria, functional PBE.

Properties
- calculated density (g/cm³) = 6.26
- ΔH_f (0 K) (eV per atom) = 0.402
- total moment (μB/atom) = 0.0000

Lattice parameters (Å, degrees): 7.218 8.415 7.100 126.34 90.00 90.00
Fractional coordinates of all 10 atoms:
Tb 0.250 0.996 0.992
Tb 0.750 0.004 0.008
Sm 0.250 0.727 0.454
Sm 0.750 0.273 0.546
Y 0.500 0.310 0.000
Y 0.000 0.690 0.000
Y 0.500 0.690 0.000
Y 0.000 0.310 0.000
Er 0.750 0.726 0.451
Er 0.250 0.274 0.549

A geometry-optimized Pr3Ho2Er2 structure. Source: Alexandria, functional PBE.

Properties
- calculated density (g/cm³) = 7.72
- ΔH_f (0 K) (eV per atom) = 0.115
- offset from the most stable computed form (meV/atom) = 74
- total moment (μB/atom) = 0.0000

Lattice parameters (Å, degrees): 3.524 8.566 8.991 117.87 101.30 90.00
Fractional coordinates of all 7 atoms:
Pr 0.000 0.500 0.000
Pr 0.214 0.797 0.428
Pr 0.786 0.203 0.572
Ho 0.564 0.910 0.129
Ho 0.436 0.090 0.871
Er 0.858 0.680 0.716
Er 0.142 0.320 0.284

A geometry-optimized MgSiTcRh structure. Source: Alexandria, functional PBE.

Properties
- uncorrected formation energy (kJ/mol of formula units) = -146
- calculated density (g/cm³) = 7.63
- total moment (μB/atom) = 0.0001

Lattice parameters (Å, degrees): 4.272 4.272 4.272 60.00 60.00 60.00
Fractional coordinates of all 4 atoms:
Mg 0.250 0.250 0.250
Si 0.750 0.750 0.750
Rh 0.000 0.000 0.000
Tc 0.500 0.500 0.500

A geometry-optimized MgInPd6 structure. Source: Alexandria, functional PBE.

Properties
- calculated density (g/cm³) = 10.02
- ΔH_f (0 K) (eV per atom) = -0.446
- offset from the most stable computed form (meV/atom) = 0
- total moment (μB/atom) = 0.0000

Lattice parameters (Å, degrees): 4.586 5.691 5.691 119.87 90.00 90.00
Fractional coordinates of all 8 atoms:
Mg 0.000 0.083 0.917
In 0.500 0.416 0.584
Pd 0.000 0.081 0.415
Pd 0.000 0.585 0.919
Pd 0.000 0.586 0.414
Pd 0.500 0.416 0.083
Pd 0.500 0.917 0.584
Pd 0.500 0.916 0.084

A geometry-optimized NaPr2IrO5 structure. Source: Alexandria, functional PBE.

Properties
- uncorrected formation energy (kJ/mol of formula units) = -1883
- calculated density (g/cm³) = 6.88
- total moment (μB/atom) = 0.2228

Lattice parameters (Å, degrees): 5.834 6.910 6.910 90.00 90.00 90.00
Last column: magnetic moment on the atom in μB.
Fractional coordinates of all 18 atoms:
Na 0.000 0.500 0.500  0.00
Na 0.000 0.000 0.000  0.00
Pr 0.500 0.679 0.179  0.00
Pr 0.500 0.179 0.321  0.00
Pr 0.500 0.821 0.679  0.00
Pr 0.500 0.321 0.821  0.00
Ir 0.000 0.000 0.500  1.23
Ir 0.000 0.500 0.000  1.23
O 0.500 0.500 0.500  0.05
O 0.500 0.000 0.000  0.05
O 0.250 0.133 0.633  0.14
O 0.250 0.867 0.367  0.14
O 0.250 0.367 0.133  0.14
O 0.250 0.633 0.867  0.14
O 0.750 0.133 0.633  0.14
O 0.750 0.633 0.867  0.14
O 0.750 0.867 0.367  0.14
O 0.750 0.367 0.133  0.14

A geometry-optimized NpGa6Tc2 structure. Source: Alexandria, functional PBE.

Properties
- calculated density (g/cm³) = 9.19
- ΔH_f (0 K) (eV per atom) = -0.010
- total moment (μB/atom) = 0.4935

Lattice parameters (Å, degrees): 3.453 7.511 7.511 54.85 76.72 76.72
Last column: magnetic moment on the atom in μB.
Fractional coordinates of all 9 atoms:
Np 0.000 0.000 0.000  3.85
Ga 0.318 0.986 0.379  0.01
Ga 0.682 0.014 0.621  0.01
Ga 0.682 0.621 0.014  0.01
Ga 0.500 0.330 0.670  0.01
Ga 0.500 0.670 0.330  0.01
Ga 0.318 0.379 0.986  0.01
Tc 0.132 0.368 0.368  0.09
Tc 0.868 0.632 0.632  0.09